(1)
Compound: KLiRe2
Source: Alexandria
Functional: PBE-GGA
Structure: relaxed

Cell: 3.6607 3.6607 5.5114 Å, 90.00 90.00 90.00°
With the nearest neighbours (Å) after each atom.
Space group P4/mmm (No. 123)
Unique sites:
K 0.0000 0.0000 0.0000 (multiplicity 1)  4 Li 2.59
Li 0.5000 0.5000 0.0000 (multiplicity 1)  4 K 2.59
Re 0.0000 0.5000 0.5000 (multiplicity 2)  4 Re 2.59

Summary:
- density of states at the Fermi level (states/eV per atom) = 0.708
- DFT formation energy (meV per atom) = 1119


(2)
Compound: GaAuI
Source: Alexandria
Functional: PBE-GGA
Structure: relaxed

Cell: 4.0728 4.0728 5.4655 Å, 90.00 90.00 120.00°
With the nearest neighbours (Å) after each atom.
Space group P3m1 (No. 156)
Unique sites:
Ga 0.0000 0.0000 0.0000 (multiplicity 1)  3 Au 2.62
Au 0.6667 0.3333 0.2095 (multiplicity 1)  3 Ga 2.62
I 0.3333 0.6667 0.5923 (multiplicity 1)  3 Au 3.15, 3 Ga 3.24

Summary:
- density of states at the Fermi level (states/eV per atom) = 0.329
- formation energy (no corrections) (eV/f.u.) = -0.4


(3)
Compound: LiB2Sb2
Source: Alexandria
Functional: PBE-GGA
Structure: relaxed

Cell: 3.9019 3.9019 14.0632 Å, 90.00 90.00 90.00°
With the nearest neighbours (Å) after each atom.
Space group I4/mmm (No. 139)
Unique sites:
Li 0.0000 0.0000 0.0000 (multiplicity 2)  8 Sb 3.49, 4 Li 3.90
B 0.0000 0.5000 0.2500 (multiplicity 4)  4 Sb 2.38
Sb 0.0000 0.0000 0.3475 (multiplicity 4)  4 B 2.38

Summary:
- density of states at the Fermi level (states/eV per atom) = 0.294
- formation energy (no corrections) (eV/f.u.) = 3.6


(4)
Compound: Hf3Ti2In4
Source: Alexandria
Functional: PBE-GGA
Structure: relaxed

Cell: 9.8005 4.2400 9.3869 Å, 90.00 105.77 90.00°
With the nearest neighbours (Å) after each atom.
Space group C2/m (No. 12)
Unique sites:
Hf 0.0000 0.0000 0.0000 (multiplicity 2)  8 In 3.04-3.12, 4 Ti 3.09
Hf 0.1719 0.5000 0.5617 (multiplicity 4)  3 Hf 3.02-3.25, 6 In 3.04-3.16, 3 Ti 3.08-3.10
Ti 0.1547 0.5000 0.2266 (multiplicity 4)  7 In 2.93-3.26, 5 Hf 3.08-3.10
In 0.0004 0.0000 0.3324 (multiplicity 4)  3 Ti 2.93-3.26, 6 Hf 3.04-3.16, 3 In 3.14-3.15
In 0.1718 0.5000 0.8928 (multiplicity 4)  4 In 3.04-3.14, 4 Hf 3.04-3.11, 4 Ti 3.09-3.18

Summary:
- density of states at the Fermi level (states/eV per atom) = 0.689
- DFT formation energy (meV per atom) = -118


(5)
Compound: SrSnGe
Source: Alexandria
Functional: PBE-GGA
Structure: relaxed

Cell: 4.7698 4.7698 4.5565 Å, 90.00 90.00 120.00°
With the nearest neighbours (Å) after each atom.
Space group P3m1 (No. 156)
Unique sites:
Sr 0.0000 0.0000 0.0000 (multiplicity 1)  6 Ge 3.57-3.58, 6 Sn 3.57-3.58
Sn 0.3333 0.6667 0.4987 (multiplicity 1)  3 Ge 2.75
Ge 0.6667 0.3333 0.5026 (multiplicity 1)  3 Sn 2.75

Summary:
- density of states at the Fermi level (states/eV per atom) = 0.596
- DFT formation energy (meV per atom) = -403


(6)
Compound: Mg2Cr2Cd
Source: Alexandria
Functional: PBE-GGA
Structure: relaxed

Cell: 3.1663 3.1663 18.6723 Å, 90.00 90.00 90.00°
With the nearest neighbours (Å) after each atom.
Space group I4/mmm (No. 139)
Unique sites:
Mg 0.0000 0.0000 0.1184 (multiplicity 4)  4 Cr 2.92, 4 Cd 3.15, 4 Mg 3.17
Cr 0.0000 0.5000 0.2500 (multiplicity 4)  4 Cr 2.24
Cd 0.0000 0.0000 0.5000 (multiplicity 2)  8 Mg 3.15, 4 Cd 3.17

Summary:
- density of states at the Fermi level (states/eV per atom) = 0.843
- DFT formation energy (meV per atom) = 435


(7)
Compound: Tb3Ce2S8
Source: Alexandria
Functional: PBE-GGA
Structure: relaxed

Cell: 9.6445 13.5294 4.6752 Å, 90.00 90.00 90.00°
With the nearest neighbours (Å) after each atom.
Space group Cmmm (No. 65)
Unique sites:
Tb 0.0000 0.0000 0.0000 (multiplicity 2)  8 S 2.84-2.85
Tb 0.2181 0.5000 0.5000 (multiplicity 4)  6 S 2.71-2.89
Ce 0.0000 0.2646 0.0000 (multiplicity 4)  8 S 2.77-3.06
S 0.0000 0.1187 0.5000 (multiplicity 4)  4 Tb 2.84-3.16, 2 Ce 3.06
S 0.0000 0.3741 0.5000 (multiplicity 4)  2 Tb 2.71, 2 Ce 2.77
S 0.2407 0.1223 0.0000 (multiplicity 8)  3 Tb 2.85-2.89, 2 Ce 2.93-3.02

Summary:
- density of states at the Fermi level (states/eV per atom) = 0.711
- formation energy (no corrections) (eV/f.u.) = -24.1


(8)
Compound: Mg2ZrW
Source: Alexandria
Functional: PBE-GGA
Structure: relaxed

Cell: 2.8195 2.8195 9.7491 Å, 90.00 90.00 90.00°
With the nearest neighbours (Å) after each atom.
Space group P4/mmm (No. 123)
Unique sites:
Mg 0.0000 0.0000 0.2290 (multiplicity 2)  4 Mg 2.82, 4 W 2.99
Zr 0.5000 0.5000 0.5000 (multiplicity 1)  4 Zr 2.82
W 0.5000 0.5000 0.0000 (multiplicity 1)  4 W 2.82, 8 Mg 2.99

Summary:
- density of states at the Fermi level (states/eV per atom) = 0.563
- DFT formation energy (meV per atom) = 314


no.,density (Mg/m³)
1,9.41
2,8.32
3,4.22
4,9.65
5,5.16
6,4.70
7,5.52
8,6.93